Computed, not measured: crystalline ErPu3Zr2N6 at its relaxed geometry at the PBE-GGA level of DFT.

Its calculated total energy is -11.07 eV per atom. As for the crystal system: monoclinic. Its symmetry is C2/m. The value obtained for the density of states at the Fermi level is 1.607 states/eV/atom.

Cell: 5.8739 5.8739 5.8830 Å, 99.59 99.59 119.95°
Last column: nearest neighbours and their distance in Å.
Fractional positions:
Pu 0.1660 0.8340 0.5000  6 N 2.40-2.46
Pu 0.5000 0.5000 0.5000  6 N 2.40-2.45
Pu 0.8340 0.1660 0.5000  6 N 2.40-2.46
N 0.5781 0.9200 0.7601  2 Zr 2.35, 3 Pu 2.40-2.45, 1 Er 2.41
N 0.0800 0.4219 0.2399  2 Zr 2.35, 3 Pu 2.40-2.45, 1 Er 2.41
N 0.7371 0.7371 0.2381  2 Zr 2.34, 3 Pu 2.40-2.46, 1 Er 2.41
N 0.9200 0.5781 0.7601  2 Zr 2.35, 3 Pu 2.40-2.45, 1 Er 2.41
N 0.2629 0.2629 0.7619  2 Zr 2.34, 3 Pu 2.40-2.46, 1 Er 2.41
N 0.4219 0.0800 0.2399  2 Zr 2.35, 3 Pu 2.40-2.45, 1 Er 2.41
Zr 0.6666 0.3334 0.0000  6 N 2.34-2.35
Zr 0.3334 0.6666 0.0000  6 N 2.34-2.35
Er 0.0000 0.0000 0.0000  6 N 2.41